Entry 1:
## Ce5PmGe3 (PBE)

Data for Ce5PmGe3 after structural relaxation.

Its magnetic moment is 1.818 μB/f.u. The value obtained for the volume is 25.4 Å³/atom. The energy relative to the elements comes out at -330 meV per atom. For the theoretical density, the calculation gives 7.7 Mg/m³.

The space group is I4/mcm (No. 140) and the conventional cell measures 7.5216, 7.5216 and 16.1902 Å, with angles of 90.00, 90.00 and 90.00 degrees. The asymmetric unit holds Ce at (0.0000, 0.0000, 0.0000), Ce at (0.1914, 0.3086, 0.1316), Pm at (0.0000, 0.5000, 0.2500), Ge at (0.0000, 0.0000, 0.2500) and Ge at (0.1183, 0.3817, 0.5000).

Entry 2:
## Ce2PmGe6 (PBE)

Data for Ce2PmGe6 after structural relaxation.

Its magnetic moment is 1.239 μB/f.u. The value obtained for the volume is 22.5 Å³/atom. The energy relative to the elements comes out at -566 meV per atom. For the theoretical density, the calculation gives 7.1 Mg/m³.

The space group is P6/mmm (No. 191) and the conventional cell measures 7.5879, 7.5879 and 4.0620 Å, with angles of 90.00, 90.00 and 120.00 degrees. The asymmetric unit holds Ce at (0.3333, 0.6667, 0.0000), Pm at (0.0000, 0.0000, 0.0000) and Ge at (0.0000, 0.3334, 0.5000).

Entry 3:
## CePm4Ge2 (PBE)

Data for CePm4Ge2 after structural relaxation.

Its magnetic moment is 0.930 μB/f.u. The value obtained for the volume is 30.3 Å³/atom. The energy relative to the elements comes out at -319 meV per atom. For the theoretical density, the calculation gives 6.8 Mg/m³.

The space group is R-3m (No. 166, hexagonal axes) and the conventional cell measures 4.9475, 4.9475 and 30.0569 Å, with angles of 90.00, 90.00 and 120.00 degrees. The asymmetric unit holds Ce at (0.0000, 0.0000, 0.0000), Pm at (0.0000, 0.0000, 0.2039), Pm at (0.0000, 0.0000, 0.3908) and Ge at (0.0000, 0.0000, 0.1004).

Entry 4:
## Ce5PmGe2 (PBE)

Data for Ce5PmGe2 after structural relaxation.

Its magnetic moment is 4.189 μB/f.u. The value obtained for the volume is 27.2 Å³/atom. The energy relative to the elements comes out at -329 meV per atom. For the theoretical density, the calculation gives 7.5 Mg/m³.

The space group is Immm (No. 71) and the conventional cell measures 4.1846, 9.8004 and 10.6305 Å, with angles of 90.00, 90.00 and 90.00 degrees. The asymmetric unit holds Ce at (0.0000, 0.0000, 0.0000), Ce at (0.0000, 0.3010, 0.3357), Pm at (0.0000, 0.5000, 0.0000) and Ge at (0.0000, 0.0000, 0.2895).

Among the records above, which one has the highest energy relative to the elements? CePm4Ge2

Among the records above, which one has the lowest theoretical density? CePm4Ge2

What did the fourth record say?
## Ce5PmGe2 (PBE)

Data for Ce5PmGe2 after structural relaxation.

Its magnetic moment is 4.189 μB/f.u. The value obtained for the volume is 27.2 Å³/atom. The energy relative to the elements comes out at -329 meV per atom. For the theoretical density, the calculation gives 7.5 Mg/m³.

The space group is Immm (No. 71) and the conventional cell measures 4.1846, 9.8004 and 10.6305 Å, with angles of 90.00, 90.00 and 90.00 degrees. The asymmetric unit holds Ce at (0.0000, 0.0000, 0.0000), Ce at (0.0000, 0.3010, 0.3357), Pm at (0.0000, 0.5000, 0.0000) and Ge at (0.0000, 0.0000, 0.2895).

What did the third record say?
## CePm4Ge2 (PBE)

Data for CePm4Ge2 after structural relaxation.

Its magnetic moment is 0.930 μB/f.u. The value obtained for the volume is 30.3 Å³/atom. The energy relative to the elements comes out at -319 meV per atom. For the theoretical density, the calculation gives 6.8 Mg/m³.

The space group is R-3m (No. 166, hexagonal axes) and the conventional cell measures 4.9475, 4.9475 and 30.0569 Å, with angles of 90.00, 90.00 and 120.00 degrees. The asymmetric unit holds Ce at (0.0000, 0.0000, 0.0000), Pm at (0.0000, 0.0000, 0.2039), Pm at (0.0000, 0.0000, 0.3908) and Ge at (0.0000, 0.0000, 0.1004).